Record 1
# Sr2MnRh

Crystalline Sr2MnRh at its relaxed geometry (GGA-PBE, Alexandria).

Cell: 7.276 7.296 3.981 Å, 90.00 90.00 90.00°
Space group Cmmm (No. 65)
Inequivalent atoms, fractional coordinates:
Sr (0.250, 0.250, 0.000) [4 per cell]
Mn (0.000, 0.000, 0.500) [2 per cell]
Rh (0.000, 0.500, 0.500) [2 per cell]

Summary:
DOS(E_F) = 1.0541 states/eV/atom
formation energy from the elements = 0.315 eV per atom
distance to the lowest polymorph of the same formula = 300.8 meV per atom



Record 2
# SrMn2Rh

Crystalline SrMn2Rh at its relaxed geometry (GGA-PBE, Alexandria).

Cell: 3.238 3.238 7.819 Å, 90.00 90.00 90.00°
Space group P4/mmm (No. 123)
Inequivalent atoms, fractional coordinates:
Sr (0.000, 0.000, 0.000) [1 per cell]
Mn (0.500, 0.500, 0.322) [2 per cell]
Rh (0.000, 0.000, 0.500) [1 per cell]

Summary:
DOS(E_F) = 0.8667 states/eV/atom
formation energy from the elements = 0.322 eV per atom



Record 3
# SrMn2Rh

Crystalline SrMn2Rh at its relaxed geometry (GGA-PBE, Alexandria).

Cell: 6.773 6.773 6.773 Å, 90.00 90.00 90.00°
Space group F-43m (No. 216)
Inequivalent atoms, fractional coordinates:
Sr (0.000, 0.000, 0.000) [4 per cell]
Mn (0.000, 0.000, 0.500) [4 per cell]
Mn (0.250, 0.250, 0.250) [4 per cell]
Rh (0.250, 0.250, 0.750) [4 per cell]

Summary:
DOS(E_F) = 0.8765 states/eV/atom
formation energy from the elements = 0.509 eV per atom



Record 4
# SrMnRh

Crystalline SrMnRh at its relaxed geometry (GGA-PBE, Alexandria).

Cell: 6.730 6.730 6.730 Å, 90.00 90.00 90.00°
Space group F-43m (No. 216)
Inequivalent atoms, fractional coordinates:
Sr (0.000, 0.000, 0.000) [4 per cell]
Mn (0.250, 0.250, 0.250) [4 per cell]
Rh (0.250, 0.250, 0.750) [4 per cell]

Summary:
DOS(E_F) = 0.6986 states/eV/atom
formation energy from the elements = 1.064 eV per atom
distance to the lowest polymorph of the same formula = 1167.9 meV per atom